Computed, not measured: crystalline HoNi12B4 at its relaxed geometry at the PBE level of DFT.

Its spin magnetization is 0.0 Bohr magnetons per cell. The value obtained for the calculated formation energy is -0.1322 eV per atom.

Cell: 7.231 7.231 7.231 Å, 90.00 90.00 90.00°
Space group Im-3 (No. 204)
Asymmetric unit:
Ho 0.000 0.000 0.000
Ni 0.000 0.332 0.182
B 0.250 0.250 0.250